(1)
An optimized crystal structure of ScTiAgPb, computed with PBE.

Cell lengths 4.8984, 4.8984, 4.8984 Å; angles 60.00, 60.00, 60.00 degrees
Last column: magnetic moment on the atom in μB.
Element x y z (fractional)
Pb 0.0000 0.0000 0.0000  -0.03
Ti 0.2500 0.2500 0.2500  1.22
Ag 0.5000 0.5000 0.5000  0.02
Sc 0.7500 0.7500 0.7500  0.24

As for the volume: 83.1 Å³/f.u. As for the space group: F-43m. Its calculated formation energy is -0.4 eV/f.u.


(2)
An optimized crystal structure of Ba2Ag6Hg3, computed with PBE.

Cell lengths 4.8119, 8.2987, 8.2987 Å; angles 120.00, 90.00, 90.00 degrees
Element x y z (fractional)
Hg 0.5000 0.4053 0.4053
Hg 0.5000 0.0000 0.5947
Hg 0.5000 0.5947 0.0000
Ag 0.0000 0.1970 0.1970
Ag 0.5000 0.0000 0.2348
Ag 0.5000 0.2348 0.0000
Ag 0.0000 0.8030 0.0000
Ag 0.5000 0.7652 0.7652
Ag 0.0000 0.0000 0.8030
Ba 0.0000 0.3333 0.6667
Ba 0.0000 0.6667 0.3333

As for the volume: 287.0 Å³/f.u. As for the space group: P-62m. Its calculated formation energy is -2.0 eV/f.u.


(3)
An optimized crystal structure of SmHoLu2, computed with PBE.

Cell lengths 4.9378, 4.9911, 4.9911 Å; angles 90.00, 90.00, 90.00 degrees
Element x y z (fractional)
Lu 0.0000 0.0000 0.5000
Lu 0.0000 0.5000 0.0000
Sm 0.5000 0.0000 0.0000
Ho 0.5000 0.5000 0.5000

The distance to the lowest polymorph of the same formula comes out at 0.00 eV/f.u. As for the volume: 123.0 Å³/f.u. As for the space group: P4/mmm. Its calculated formation energy is 0.1 eV/f.u.


(4)
An optimized crystal structure of Na3In3Pb, computed with PBE.

Cell lengths 8.2149, 8.2149, 8.2149 Å; angles 90.00, 90.00, 90.00 degrees
Element x y z (fractional)
In 0.0000 0.5000 0.2500
In 0.5000 0.7500 0.0000
In 0.7500 0.0000 0.5000
In 0.2500 0.0000 0.5000
In 0.0000 0.5000 0.7500
In 0.5000 0.2500 0.0000
Na 0.7500 0.5000 0.0000
Na 0.2500 0.5000 0.0000
Na 0.0000 0.2500 0.5000
Na 0.0000 0.7500 0.5000
Na 0.5000 0.0000 0.7500
Na 0.5000 0.0000 0.2500
Pb 0.0000 0.0000 0.0000
Pb 0.5000 0.5000 0.5000

The distance to the lowest polymorph of the same formula comes out at 4.29 eV/f.u. As for the volume: 277.2 Å³/f.u. As for the space group: Pm-3n. Its calculated formation energy is 3.8 eV/f.u.


(5)
An optimized crystal structure of SrNiGe2, computed with PBE.

Cell lengths 4.8232, 4.8232, 4.8232 Å; angles 60.00, 60.00, 60.00 degrees
Element x y z (fractional)
Ge 0.2500 0.2500 0.2500
Ge 0.7500 0.7500 0.7500
Ni 0.0000 0.0000 0.0000
Sr 0.5000 0.5000 0.5000

As for the volume: 79.3 Å³/f.u. As for the space group: Fm-3m. Its calculated formation energy is 0.2 eV/f.u.


(6)
An optimized crystal structure of Li2HfScTe4, computed with PBE.

Cell lengths 4.0762, 7.0864, 7.4456 Å; angles 108.31, 90.00, 90.00 degrees
Element x y z (fractional)
Sc 0.0000 0.0000 0.0000
Te 0.0000 0.2537 0.7539
Te 0.0000 0.7463 0.2461
Te 0.5000 0.2510 0.2469
Te 0.5000 0.7490 0.7531
Hf 0.5000 0.5000 0.0000
Li 0.0000 0.5000 0.5000
Li 0.5000 0.0000 0.5000

As for the volume: 204.2 Å³/f.u. As for the space group: P2/m. The energy relative to the elements, uncorrected comes out at -998 meV/atom.


(7)
An optimized crystal structure of ZrScIn2, computed with PBE.

Cell lengths 5.0975, 5.0975, 5.0975 Å; angles 60.00, 60.00, 60.00 degrees
Last column: magnetic moment on the atom in μB.
Element x y z (fractional)
In 0.7500 0.7500 0.7500  -0.01
In 0.0000 0.0000 0.0000  -0.03
Zr 0.2500 0.2500 0.2500  0.82
Sc 0.5000 0.5000 0.5000  0.54

The distance to the lowest polymorph of the same formula comes out at 1.92 eV/f.u. As for the volume: 93.7 Å³/f.u. As for the space group: F-43m. Its calculated formation energy is 0.4 eV/f.u.


(8)
An optimized crystal structure of Tb2Fe17C, computed with PBE.

Cell lengths 6.4517, 6.4517, 6.4205 Å; angles 83.46, 83.46, 83.76 degrees
Last column: magnetic moment on the atom in μB.
Element x y z (fractional)
Tb 0.3392 0.3392 0.3495  -0.41
Tb 0.6608 0.6608 0.6505  -0.41
Fe 0.8504 0.3437 0.3452  2.51
Fe 0.7143 0.2857 0.0000  1.72
Fe 0.0007 0.7107 0.2900  2.43
Fe 0.1496 0.6563 0.6548  2.51
Fe 0.3437 0.8504 0.3452  2.51
Fe 0.7107 0.0007 0.2900  2.43
Fe 0.0000 0.5000 0.0000  2.36
Fe 0.6569 0.6569 0.1505  1.97
Fe 0.3431 0.3431 0.8495  1.97
Fe 0.6563 0.1496 0.6548  2.51
Fe 0.9032 0.9032 0.9023  2.64
Fe 0.2893 0.9993 0.7100  2.43
Fe 0.2857 0.7143 0.0000  1.72
Fe 0.0000 0.0000 0.5000  2.20
Fe 0.0968 0.0968 0.0977  2.64
Fe 0.5000 0.0000 0.0000  2.36
Fe 0.9993 0.2893 0.7100  2.43
C 0.5000 0.5000 0.0000  -0.15

As for the volume: 262.5 Å³/f.u. As for the space group: C2/m. Its calculated formation energy is -0.7 eV/f.u.


(9)
An optimized crystal structure of Tb4MgTl5, computed with PBE.

Cell lengths 3.6527, 3.6527, 20.0770 Å; angles 90.00, 90.00, 90.00 degrees
Element x y z (fractional)
Tl 0.5000 0.5000 0.9124
Tl 0.5000 0.5000 0.7075
Tl 0.5000 0.5000 0.0876
Tl 0.5000 0.5000 0.2925
Tl 0.5000 0.5000 0.5000
Mg 0.0000 0.0000 0.0000
Tb 0.0000 0.0000 0.6039
Tb 0.0000 0.0000 0.8115
Tb 0.0000 0.0000 0.3961
Tb 0.0000 0.0000 0.1885

As for the volume: 267.9 Å³/f.u. As for the space group: P4/mmm. Its calculated formation energy is -3.0 eV/f.u.


(10)
An optimized crystal structure of Cd6Pd5Au, computed with PBE.

Cell lengths 4.2894, 7.7854, 7.7854 Å; angles 110.49, 105.99, 105.99 degrees
Element x y z (fractional)
Pd 0.5000 0.8381 0.1619
Pd 0.5000 0.1619 0.8381
Pd 0.5000 0.5000 0.5000
Pd 0.0000 0.6696 0.3304
Pd 0.0000 0.3304 0.6696
Cd 0.7445 0.5757 0.9132
Cd 0.7604 0.2604 0.2604
Cd 0.2555 0.0868 0.4243
Cd 0.2396 0.7396 0.7396
Cd 0.7445 0.9132 0.5757
Cd 0.2555 0.4243 0.0868
Au 0.0000 0.0000 0.0000

As for the volume: 213.2 Å³/f.u. As for the space group: Immm. Its calculated formation energy is -4.4 eV/f.u.


(11)
An optimized crystal structure of MoW5, computed with PBE.

Cell lengths 6.9216, 6.9216, 4.4975 Å; angles 90.00, 90.00, 153.39 degrees
Element x y z (fractional)
Mo 0.0278 0.9722 0.0000
W 0.1943 0.8057 0.5000
W 0.6944 0.3056 0.0000
W 0.5278 0.4722 0.5000
W 0.8612 0.1388 0.5000
W 0.3612 0.6388 0.0000

The distance to the lowest polymorph of the same formula comes out at 0.00 eV/f.u. As for the volume: 96.5 Å³/f.u. As for the space group: Cmmm. Its calculated formation energy is -0.1 eV/f.u.


(12)
An optimized crystal structure of RbCI2, computed with PBE.

Cell lengths 5.8418, 5.8418, 5.8418 Å; angles 60.00, 60.00, 60.00 degrees
Last column: magnetic moment on the atom in μB.
Element x y z (fractional)
C 0.0000 0.0000 0.0000  0.76
Rb 0.5000 0.5000 0.5000  0.00
I 0.7500 0.7500 0.7500  -0.16
I 0.2500 0.2500 0.2500  -0.16

The distance to the lowest polymorph of the same formula comes out at 2.55 eV/f.u. As for the volume: 141.0 Å³/f.u. As for the space group: Fm-3m. The energy relative to the elements, uncorrected comes out at 1179 meV/atom.